Record 1
DFT (GGA-PBE) results for crystalline Sm6TlNi2I3 at its relaxed geometry.

Structure (POSCAR):
```
Sm6TlNi2I3
1.0
-0.456 -3.641 1.831
5.710 2.828 7.045
-9.193 4.163 1.397
I Sm Tl Ni
3 6 1 2
Direct
0.162 0.840 0.323
0.838 0.160 0.677
0.500 0.500 0.000
0.026 0.258 0.052
0.974 0.742 0.948
0.334 0.850 0.668
0.681 0.556 0.362
0.666 0.150 0.332
0.319 0.444 0.638
0.500 0.000 0.000
0.172 0.352 0.344
0.828 0.648 0.656
```

Output
Total magnetic moment in Bohr magnetons per cell: 0.000
Energy relative to the elements, uncorrected in kJ/mol of formula units: -716
Fermi-level density of states in states/eV per atom: 0.7802
Total DFT energy (no corrections) in eV/atom: -4.526

Record 2
DFT (GGA-PBE) results for crystalline TiSb3Os at its relaxed geometry.

Structure (POSCAR):
```
TiSb3Os
1.0
5.159 0.000 0.000
0.000 5.159 0.000
0.000 0.000 5.159
Sb Ti Os
3 1 1
Direct
0.500 0.000 0.000
0.000 0.500 0.000
0.000 0.000 0.500
0.500 0.500 0.500
0.000 0.000 0.000
```

Output
Total magnetic moment in Bohr magnetons per cell: 2.610
Energy relative to the elements, uncorrected in kJ/mol of formula units: 436
Fermi-level density of states in states/eV per atom: 1.3270
Total DFT energy (no corrections) in eV/atom: -5.396
Relative energy among the computed polymorphs in meV/atom: 0

Record 3
DFT (GGA-PBE) results for crystalline PuNpTcPd at its relaxed geometry.

Structure (POSCAR):
```
PuNpTcPd
1.0
4.840 0.000 0.000
2.420 4.191 0.000
2.420 1.397 3.952
Pd Pu Np Tc
1 1 1 1
Direct
0.750 0.750 0.750
0.000 0.000 0.000
0.500 0.500 0.500
0.250 0.250 0.250
```

Output
Total magnetic moment in Bohr magnetons per cell: 7.965
Fermi-level density of states in states/eV per atom: 3.2032
Formation energy from the elements in eV/atom: 0.016
Total DFT energy (no corrections) in eV/atom: -10.692

Record 4
DFT (GGA-PBE) results for crystalline KTcOs at its relaxed geometry.

Structure (POSCAR):
```
KTcOs
1.0
8.438 -0.002 0.001
7.788 2.680 0.014
0.650 -1.111 2.441
Tc Os K
1 1 1
Direct
0.314 0.314 0.686
0.684 0.684 0.316
0.002 0.002 0.998
```

Output
Total magnetic moment in Bohr magnetons per cell: 0.000
Fermi-level density of states in states/eV per atom: 1.5002
Formation energy from the elements in eV/atom: 1.047
Total DFT energy (no corrections) in eV/atom: -6.518
Relative energy among the computed polymorphs in meV/atom: 171

Record 5
DFT (GGA-PBE) results for crystalline ScBe2Fe at its relaxed geometry.

Structure (POSCAR):
```
ScBe2Fe
1.0
-2.301 -0.514 3.352
-4.087 0.002 -0.300
-2.095 -3.481 0.533
Fe Be Sc
1 2 1
Direct
0.500 0.500 0.500
0.750 0.750 0.750
0.250 0.250 0.250
0.000 0.000 0.000
```

Output
Total magnetic moment in Bohr magnetons per cell: 2.116
Fermi-level density of states in states/eV per atom: 1.1433
Formation energy from the elements in eV/atom: 0.006
Total DFT energy (no corrections) in eV/atom: -5.555
Relative energy among the computed polymorphs in meV/atom: 90

Record 6
DFT (GGA-PBE) results for crystalline ZrSc2N3 at its relaxed geometry.

Structure (POSCAR):
```
ZrSc2N3
1.0
3.096 0.000 -0.877
-0.477 4.204 -1.682
-0.097 -0.252 5.561
Sc N Zr
2 3 1
Direct
0.668 0.168 0.336
0.332 0.832 0.664
0.000 0.000 0.000
0.667 0.667 0.333
0.333 0.333 0.667
0.000 0.500 0.000
```

Output
Total magnetic moment in Bohr magnetons per cell: 0.000
Energy relative to the elements, uncorrected in kJ/mol of formula units: -1090
Fermi-level density of states in states/eV per atom: 0.2369
Total DFT energy (no corrections) in eV/atom: -9.582
Relative energy among the computed polymorphs in meV/atom: 0

Record 7
DFT (GGA-PBE) results for crystalline Li2UAuSe4 at its relaxed geometry.

Structure (POSCAR):
```
Li2UAuSe4
1.0
-5.143 0.179 -2.265
-1.025 -5.190 1.903
1.082 4.628 4.892
Se Au Li U
4 1 2 1
Direct
0.437 0.938 0.000
0.938 0.437 0.000
0.695 0.695 0.517
0.178 0.178 0.483
0.439 0.439 0.000
0.686 0.186 0.500
0.186 0.686 0.500
0.937 0.937 0.000
```

Output
Total magnetic moment in Bohr magnetons per cell: 1.169
Energy relative to the elements, uncorrected in kJ/mol of formula units: -683
Fermi-level density of states in states/eV per atom: 0.3451
Total DFT energy (no corrections) in eV/atom: -4.927

Record 8
DFT (GGA-PBE) results for crystalline TcSn6Ir at its relaxed geometry.

Structure (POSCAR):
```
TcSn6Ir
1.0
-2.138 6.198 -1.252
-2.812 1.734 5.939
2.805 2.619 4.452
Sn Tc Ir
6 1 1
Direct
0.744 0.756 0.000
0.745 0.421 0.651
0.745 0.072 0.349
0.255 0.928 0.651
0.255 0.579 0.349
0.256 0.244 0.000
0.000 0.000 0.000
0.500 0.500 0.000
```

Output
Total magnetic moment in Bohr magnetons per cell: 0.000
Fermi-level density of states in states/eV per atom: 0.5915
Formation energy from the elements in eV/atom: 0.175
Total DFT energy (no corrections) in eV/atom: -5.231

Record 9
DFT (GGA-PBE) results for crystalline CeY3Ho6 at its relaxed geometry.

Structure (POSCAR):
```
CeY3Ho6
1.0
5.820 0.000 2.796
2.977 7.130 1.259
-0.264 -2.003 8.003
Y Ho Ce
3 6 1
Direct
0.000 0.000 0.000
0.228 0.279 0.264
0.772 0.721 0.736
0.744 0.463 0.049
0.256 0.537 0.951
0.684 0.818 0.326
0.172 0.818 0.326
0.828 0.182 0.674
0.316 0.182 0.674
0.500 0.500 0.500
```

Output
Total magnetic moment in Bohr magnetons per cell: 1.936
Fermi-level density of states in states/eV per atom: 2.0160
Formation energy from the elements in eV/atom: 0.336
Total DFT energy (no corrections) in eV/atom: -4.943
Relative energy among the computed polymorphs in meV/atom: 178

Record 10
DFT (GGA-PBE) results for crystalline CeEr3Rh4 at its relaxed geometry.

Structure (POSCAR):
```
CeEr3Rh4
1.0
-4.748 -0.787 0.594
-1.925 -4.271 -1.252
-0.864 -4.424 7.029
Er Rh Ce
3 4 1
Direct
0.752 0.752 0.744
0.248 0.248 0.256
0.500 0.500 0.500
0.123 0.123 0.630
0.626 0.626 0.123
0.374 0.374 0.877
0.877 0.877 0.370
0.000 0.000 0.000
```

Output
Total magnetic moment in Bohr magnetons per cell: 0.246
Fermi-level density of states in states/eV per atom: 0.8703
Formation energy from the elements in eV/atom: -0.861
Total DFT energy (no corrections) in eV/atom: -6.990

Record 11
DFT (GGA-PBE) results for crystalline CaGd2Ir at its relaxed geometry.

Structure (POSCAR):
```
CaGd2Ir
1.0
-1.418 3.242 -0.128
-2.978 -1.244 1.457
3.453 1.851 8.634
Gd Ir Ca
2 1 1
Direct
0.000 0.000 0.170
0.000 0.000 0.830
0.500 0.500 0.000
0.500 0.500 0.500
```

Output
Total magnetic moment in Bohr magnetons per cell: 14.266
Fermi-level density of states in states/eV per atom: 1.0820
Formation energy from the elements in eV/atom: -0.386
Total DFT energy (no corrections) in eV/atom: -10.142
Relative energy among the computed polymorphs in meV/atom: 17

Record 12
DFT (GGA-PBE) results for crystalline Ba2Zn6Pt at its relaxed geometry.

Structure (POSCAR):
```
Ba2Zn6Pt
1.0
6.103 -0.029 -0.017
0.030 6.270 0.008
0.030 3.131 5.433
Zn Ba Pt
6 2 1
Direct
0.333 0.843 0.843
0.667 0.158 0.685
0.667 0.157 0.157
0.333 0.842 0.315
0.333 0.315 0.842
0.667 0.685 0.158
0.841 0.667 0.667
0.159 0.333 0.333
0.000 0.000 0.000
```

Output
Total magnetic moment in Bohr magnetons per cell: 0.000
Fermi-level density of states in states/eV per atom: 0.4570
Formation energy from the elements in eV/atom: -0.271
Total DFT energy (no corrections) in eV/atom: -2.219